# PrAlHPd2

A relaxed PrAlHPd2 crystal (PBE-GGA, the Alexandria database).

```
PrAlHPd2
1.0
3.9149 0.0000 0.0000
-1.9574 5.6013 0.0000
0.0000 0.0000 7.4765
Pd H Al Pr
4 2 2 2
direct
0.1583 0.3165 0.9446
0.8417 0.6835 0.0554
0.1583 0.3165 0.5554
0.8417 0.6835 0.4446
0.0000 0.0000 0.0000
0.0000 0.0000 0.5000
0.7234 0.4468 0.7500
0.2766 0.5532 0.2500
0.5576 0.1153 0.2500
0.4424 0.8847 0.7500
```

Computed properties:
magnetization	0.00	μB/cell
calculated total energy	-5.227	eV/atom
SG	Cmcm (63)